Entry 1:
Compound: RbCuAuCl6
Source: Alexandria via LeMat-Bulk
Functional: PBE
Structure: relaxed

- E_form (uncorrected): -739.2 meV per atom
- SG: P1 (1)
- DOS at the Fermi energy: 0.0283 states/eV per atom
- M_tot: 1.01 μB/f.u.

Lattice parameters (Å, degrees): 9.4187 6.0565 6.6435 72.57 76.02 59.34
Site moments in Bohr magnetons follow the coordinates.
Atoms (fractional coordinates):
Rb1 0.9733 0.0406 0.0129  0.00
Cu1 0.6569 0.6730 0.4634  0.48
Au1 0.3525 0.3037 0.5283  0.01
Cl1 0.8783 0.5425 0.2280  0.12
Cl2 0.4420 0.8707 0.7220  0.07
Cl3 0.7085 0.2820 0.6609  0.13
Cl4 0.1476 0.4657 0.7974  0.01
Cl5 0.2852 0.7197 0.3242  0.01
Cl6 0.5554 0.1023 0.2628  0.07


Entry 2:
Compound: LiAc2Au
Source: Alexandria via LeMat-Bulk
Functional: PBE
Structure: relaxed

- SG: P4/mmm (123)
- DOS at the Fermi energy: 0.6524 states/eV per atom
- M_tot: 0.00 μB/f.u.
- E_tot: -14.9 eV for the cell shown

Lattice parameters (Å, degrees): 3.9896 3.9896 7.9251 90.00 90.00 90.00
Atoms (fractional coordinates):
Ac1 0.0000 0.0000 0.7678
Ac2 0.0000 0.0000 0.2322
Au1 0.5000 0.5000 0.0000
Li1 0.5000 0.5000 0.5000


Entry 3:
Compound: Cd2NiHPd
Source: Alexandria via LeMat-Bulk
Functional: PBE
Structure: relaxed

- SG: P4/mmm (123)
- DOS at the Fermi energy: 0.4707 states/eV per atom
- M_tot: 0.00 μB/f.u.
- E_tot: -16.6 eV for the cell shown

Lattice parameters (Å, degrees): 4.7191 4.7191 3.1565 90.00 90.00 90.00
Atoms (fractional coordinates):
Ni1 0.0000 0.0000 0.5000
H1 0.0000 0.0000 0.0000
Pd1 0.5000 0.5000 0.5000
Cd1 0.0000 0.5000 0.0000
Cd2 0.5000 0.0000 0.0000


Question: The lowest DOS at the Fermi energy belongs to which entry?
Answer: RbCuAuCl6


Question: M_tot of number 2 (LiAc2Au)?
Answer: 0.00 μB/f.u.


Question: Look up the DOS at the Fermi energy of the second one.
Answer: 0.6524 states/eV per atom


What did the first record say?
Compound: RbCuAuCl6
Source: Alexandria via LeMat-Bulk
Functional: PBE
Structure: relaxed

- E_form (uncorrected): -739.2 meV per atom
- SG: P1 (1)
- DOS at the Fermi energy: 0.0283 states/eV per atom
- M_tot: 1.01 μB/f.u.

Lattice parameters (Å, degrees): 9.4187 6.0565 6.6435 72.57 76.02 59.34
Site moments in Bohr magnetons follow the coordinates.
Atoms (fractional coordinates):
Rb1 0.9733 0.0406 0.0129  0.00
Cu1 0.6569 0.6730 0.4634  0.48
Au1 0.3525 0.3037 0.5283  0.01
Cl1 0.8783 0.5425 0.2280  0.12
Cl2 0.4420 0.8707 0.7220  0.07
Cl3 0.7085 0.2820 0.6609  0.13
Cl4 0.1476 0.4657 0.7974  0.01
Cl5 0.2852 0.7197 0.3242  0.01
Cl6 0.5554 0.1023 0.2628  0.07